[1]
# CsTl4Au5 PBE relaxed
data_CsTl4Au5
_space_group_name_H-M_alt 'P 1'
_space_group_IT_number 1
_space_group_name_Hall 'P 1'
_cell_length_a 4.008
_cell_length_b 12.345
_cell_length_c 11.353
_cell_angle_alpha 90.00
_cell_angle_beta 90.00
_cell_angle_gamma 90.00
loop_
_atom_site_label
_atom_site_type_symbol
_atom_site_fract_x
_atom_site_fract_y
_atom_site_fract_z
Cs1 Cs 0.250 0.000 0.000
Cs2 Cs 0.750 0.500 0.500
Tl1 Tl 0.250 0.299 0.000
Tl2 Tl 0.750 0.000 0.285
Tl3 Tl 0.750 0.000 0.715
Tl4 Tl 0.250 0.701 0.000
Tl5 Tl 0.750 0.799 0.500
Tl6 Tl 0.250 0.500 0.215
Tl7 Tl 0.250 0.500 0.785
Tl8 Tl 0.750 0.201 0.500
Au1 Au 0.750 0.314 0.198
Au2 Au 0.750 0.314 0.802
Au3 Au 0.250 0.000 0.500
Au4 Au 0.750 0.686 0.198
Au5 Au 0.750 0.686 0.802
Au6 Au 0.250 0.814 0.302
Au7 Au 0.250 0.814 0.698
Au8 Au 0.750 0.500 0.000
Au9 Au 0.250 0.186 0.698
Au10 Au 0.250 0.186 0.302
# Formation energy from the elements   -0.033 eV/atom

***

[2]
# Na2Tl8Pb3 PBE relaxed
data_Na2Tl8Pb3
_space_group_name_H-M_alt 'P 1'
_space_group_IT_number 1
_space_group_name_Hall 'P 1'
_cell_length_a 6.465
_cell_length_b 6.465
_cell_length_c 12.255
_cell_angle_alpha 74.71
_cell_angle_beta 74.71
_cell_angle_gamma 60.00
loop_
_atom_site_label
_atom_site_type_symbol
_atom_site_fract_x
_atom_site_fract_y
_atom_site_fract_z
Na1 Na 0.639 0.639 0.083
Na2 Na 0.361 0.361 0.917
Tl1 Tl 0.724 0.724 0.829
Tl2 Tl 0.276 0.276 0.171
Tl3 Tl 0.229 0.731 0.308
Tl4 Tl 0.731 0.229 0.308
Tl5 Tl 0.731 0.731 0.308
Tl6 Tl 0.269 0.771 0.692
Tl7 Tl 0.771 0.269 0.692
Tl8 Tl 0.269 0.269 0.692
Pb1 Pb 0.000 0.000 0.000
Pb2 Pb 0.816 0.816 0.551
Pb3 Pb 0.184 0.184 0.449
# Formation energy from the elements   0.063 eV/atom

***

no.,M_tot (μB per formula unit),calculated volume (Å³/atom),ρ (g/cm³)
1,0.0,28.1,11.44
2,0.0,32.5,9.05